Here is a relaxed structure of Nd6CdAu from Alexandria via LeMat-Bulk. Energies are from GGA-PBE.

a = 9.2098 Å, b = 8.5816 Å, c = 6.2947 Å
α = 46.97°, β = 42.98°, γ = 57.48°
Element x y z (fractional)
Nd 0.0280 0.4411 0.7758
Nd 0.7549 0.9722 0.7134
Nd 0.5588 0.2449 0.1678
Nd 0.2451 0.0278 0.2866
Nd 0.9720 0.5589 0.2242
Nd 0.4412 0.7551 0.8322
Cd 0.5000 0.5000 0.5000
Au 0.0000 0.0000 0.0000

Calculated values
**ΔH_f (0 K)**: -139 kJ/mol of formula units
**Spin magnetization**: 0.00 μB/cell

---

Here is a relaxed structure of Er2Tm3Cd6 from Alexandria via LeMat-Bulk. Energies are from GGA-PBE.

a = 4.9375 Å, b = 4.9375 Å, c = 14.1171 Å
α = 100.07°, β = 100.07°, γ = 90.00°
Element x y z (fractional)
Er 0.3658 0.3658 0.7316
Er 0.6342 0.6342 0.2684
Tm 0.0000 0.0000 0.0000
Tm 0.8636 0.8636 0.7272
Tm 0.1364 0.1364 0.2728
Cd 0.0652 0.5652 0.1303
Cd 0.5652 0.0652 0.1303
Cd 0.9348 0.4348 0.8697
Cd 0.4348 0.9348 0.8697
Cd 0.7487 0.7487 0.4975
Cd 0.2513 0.2513 0.5025

Calculated values
**ΔH_f (0 K)**: 131 kJ/mol of formula units
**Spin magnetization**: 0.00 μB/cell

---

Here is a relaxed structure of Ba3Sr3Tl2Au from Alexandria via LeMat-Bulk. Energies are from GGA-PBE.

a = 4.5703 Å, b = 9.8182 Å, c = 9.8182 Å
α = 120.00°, β = 90.00°, γ = 90.00°
Element x y z (fractional)
Ba 0.0000 0.5852 0.5852
Ba 0.0000 0.0000 0.4148
Ba 0.0000 0.4148 0.0000
Sr 0.5000 0.7616 0.0000
Sr 0.5000 0.0000 0.7616
Sr 0.5000 0.2384 0.2384
Tl 0.5000 0.6667 0.3333
Tl 0.5000 0.3333 0.6667
Au 0.0000 0.0000 0.0000

Calculated values
**ΔH_f (0 K)**: -310 kJ/mol of formula units
**Spin magnetization**: 0.00 μB/cell

---

Here is a relaxed structure of La6Pr2SmTm from Alexandria via LeMat-Bulk. Energies are from GGA-PBE.

a = 9.3192 Å, b = 9.1707 Å, c = 9.1707 Å
α = 114.44°, β = 89.98°, γ = 89.98°
Element x y z (fractional)
La 0.0926 0.0771 0.7768
La 0.4074 0.2232 0.9229
La 0.9074 0.9229 0.2232
La 0.5926 0.7768 0.0771
La 0.3187 0.0299 0.4661
La 0.1813 0.5339 0.9701
La 0.6813 0.9701 0.5339
La 0.8187 0.4661 0.0299
La 0.0936 0.7201 0.4290
La 0.4064 0.5710 0.2799
La 0.9064 0.2799 0.5710
La 0.5936 0.4290 0.7201
Pr 0.4365 0.7934 0.7045
Pr 0.0635 0.2955 0.2066
Pr 0.5635 0.2066 0.2955
Pr 0.9365 0.7045 0.7934
Sm 0.2500 0.9311 0.0689
Sm 0.7500 0.0689 0.9311
Tm 0.2500 0.4308 0.5692
Tm 0.7500 0.5692 0.4308

Calculated values
**ΔH_f (0 K)**: 105 kJ/mol of formula units
**Spin magnetization**: 0.00 μB/cell

---

Here is a relaxed structure of BeV2H from Alexandria via LeMat-Bulk. Energies are from GGA-PBE.

a = 2.5276 Å, b = 2.5276 Å, c = 5.8804 Å
α = 90.00°, β = 90.00°, γ = 90.00°
Element x y z (fractional)
Be 0.5000 0.5000 0.5000
H 0.5000 0.5000 0.0000
V 0.0000 0.0000 0.7894
V 0.0000 0.0000 0.2106

Calculated values
**Offset from the most stable computed form**: 58.1 meV per atom
**Spin magnetization**: 0.00 μB/cell

---

Here is a relaxed structure of Pm3ZnCd2 from Alexandria via LeMat-Bulk. Energies are from GGA-PBE.

a = 5.3393 Å, b = 5.3393 Å, c = 6.5454 Å
α = 90.00°, β = 90.00°, γ = 120.00°
Element x y z (fractional)
Pm 0.0000 0.0000 0.5000
Pm 0.6667 0.3333 0.8464
Pm 0.3333 0.6667 0.1536
Zn 0.0000 0.0000 0.0000
Cd 0.6667 0.3333 0.3426
Cd 0.3333 0.6667 0.6574

Calculated values
**Offset from the most stable computed form**: 14.0 meV per atom
**ΔH_f (0 K)**: -177 kJ/mol of formula units
**Spin magnetization**: 0.83 μB/cell